Here is Cs2HgSO4 after structural relaxation from the Alexandria database. Energies are from PBE.

* total DFT energy (no corrections): -4.764 eV per atom
* space-group type: I-4 (82)

Cell lengths 6.5082, 6.5082, 6.5082 Å; angles 109.66, 109.38, 109.38 degrees
Closest atoms and distances in Å follow each position.
Fractional coordinates of all 8 atoms:
Cs (0.5000, 0.7500, 0.2500)  4 O 2.96
Cs (0.0000, 0.0000, 0.0000)  4 O 3.13
Hg (0.5000, 0.2500, 0.7500)  4 O 3.46, 2 Cs 3.75
S (0.0000, 0.5000, 0.5000)  4 O 1.50
O (0.7771, 0.5328, 0.4763)  1 S 1.50
O (0.9435, 0.2443, 0.4672)  1 S 1.50
O (0.0565, 0.5237, 0.3008)  1 S 1.50
O (0.2229, 0.6992, 0.7557)  1 S 1.50